Record 1
{
  "formula": "ZnNi3C",
  "functional": "PBEsol",
  "state": "relaxed",
  "lattice_angstrom": [[3.714, 0.000, 0.000], [0.000, 3.714, 0.000], [0.000, 0.000, 3.714]],
  "species": ["Ni", "Ni", "Ni", "Zn", "C"],
  "frac_coords": [[0.500, 0.000, 0.500], [0.500, 0.500, 0.000], [0.000, 0.500, 0.500], [0.000, 0.000, 0.000], [0.500, 0.500, 0.500]],
  "spacegroup": "No. 221",
  "delta_e_f_ev_per_atom": -0.0940,
  "volume_a3_per_cell": 51.2,
  "e_tot_ev_per_cell": -30.17
}

***

Record 2
{
  "formula": "ErNbRu2",
  "functional": "PBEsol",
  "state": "relaxed",
  "lattice_angstrom": [[-0.580, 1.747, 4.162], [-4.164, 0.196, 1.825], [-1.090, -2.724, 3.479]],
  "species": ["Ru", "Er", "Ru", "Nb"],
  "frac_coords": [[0.750, 0.750, 0.750], [0.500, 0.500, 0.500], [0.250, 0.250, 0.250], [0.000, 0.000, 0.000]],
  "spacegroup": "No. 225",
  "delta_e_f_ev_per_atom": -0.3200,
  "volume_a3_per_cell": 66.7,
  "e_tot_ev_per_cell": -37.37
}

***

Record 3
{
  "formula": "FePdS2",
  "functional": "PBEsol",
  "state": "relaxed",
  "lattice_angstrom": [[3.122, 0.000, 0.000], [1.561, 2.703, 0.000], [1.561, 0.901, 7.117]],
  "species": ["S", "Pd", "S", "Fe"],
  "frac_coords": [[0.894, 0.894, 0.317], [0.000, 0.000, 0.000], [0.106, 0.106, 0.683], [0.500, 0.500, 0.500]],
  "e_form_raw_ev_per_atom": -0.348,
  "spacegroup": "No. 166",
  "volume_a3_per_cell": 60.1,
  "e_tot_ev_per_cell": -25.08
}

***

Record 4
{
  "formula": "MnNi2Ru",
  "functional": "PBEsol",
  "state": "relaxed",
  "lattice_angstrom": [[2.534, 0.000, 0.000], [0.000, 4.411, 0.051], [0.000, -1.607, 4.108]],
  "species": ["Ru", "Ni", "Ni", "Mn"],
  "frac_coords": [[0.500, 0.000, 0.000], [0.000, 0.000, 0.500], [0.000, 0.500, 0.000], [0.500, 0.500, 0.500]],
  "spacegroup": "No. 65",
  "delta_e_f_ev_per_atom": 0.0946,
  "volume_a3_per_cell": 46.1,
  "e_tot_ev_per_cell": -31.87
}

***

Record 5
{
  "formula": "GaGeBi2Ir",
  "functional": "PBEsol",
  "state": "relaxed",
  "lattice_angstrom": [[4.545, 0.000, 0.000], [0.000, 5.476, 0.000], [0.000, 0.000, 5.476]],
  "species": ["Bi", "Ge", "Ga", "Ir", "Bi"],
  "frac_coords": [[0.000, 0.000, 0.500], [0.000, 0.000, 0.000], [0.500, 0.500, 0.500], [0.500, 0.000, 0.000], [0.000, 0.500, 0.000]],
  "spacegroup": "No. 123",
  "delta_e_f_ev_per_atom": 0.7941,
  "volume_a3_per_cell": 136.3,
  "e_tot_ev_per_cell": -22.70
}

***

Record 6
{
  "formula": "KAsPdSe2",
  "functional": "PBEsol",
  "state": "relaxed",
  "lattice_angstrom": [[-0.076, 4.534, -0.969], [-1.377, 1.022, 4.893], [4.998, 0.368, 1.329]],
  "species": ["Se", "K", "As", "Pd", "Se"],
  "frac_coords": [[0.000, 0.500, 0.000], [0.500, 0.500, 0.500], [0.500, 0.000, 0.000], [0.000, 0.000, 0.000], [0.000, 0.000, 0.500]],
  "e_form_raw_ev_per_atom": -0.117,
  "spacegroup": "No. 123",
  "volume_a3_per_cell": 124.6,
  "e_tot_ev_per_cell": -20.48
}

***

Record 7
{
  "formula": "LaYMn2Si2",
  "functional": "PBEsol",
  "state": "relaxed",
  "lattice_angstrom": [[-3.113, -0.925, -2.198], [2.365, -0.731, -3.041], [0.577, -7.020, 2.137]],
  "species": ["Si", "Y", "La", "Si", "Mn", "Mn"],
  "frac_coords": [[0.500, 0.500, 0.807], [0.000, 0.000, 0.689], [0.500, 0.500, 0.338], [0.000, 0.000, 0.177], [0.000, 0.500, 0.994], [0.500, 0.000, 0.994]],
  "e_form_raw_ev_per_atom": -0.526,
  "spacegroup": "No. 99",
  "volume_a3_per_cell": 113.2,
  "e_tot_ev_per_cell": -46.34
}

***

Record 8
{
  "formula": "CsLi2S2",
  "functional": "PBEsol",
  "state": "relaxed",
  "lattice_angstrom": [[-1.056, 4.099, -0.861], [0.105, -0.862, -4.231], [-5.221, -3.054, 2.697]],
  "species": ["Li", "S", "Li", "S", "Cs"],
  "frac_coords": [[0.750, 0.250, 0.500], [0.348, 0.348, 0.696], [0.250, 0.750, 0.500], [0.652, 0.652, 0.304], [0.000, 0.000, 0.000]],
  "e_form_raw_ev_per_atom": -1.015,
  "spacegroup": "No. 139",
  "volume_a3_per_cell": 109.6,
  "e_tot_ev_per_cell": -18.72
}

***

Record 9
{
  "formula": "FeMoAs2",
  "functional": "PBEsol",
  "state": "relaxed",
  "lattice_angstrom": [[-2.541, -2.849, 2.105], [1.107, -4.214, 0.147], [1.350, -1.770, 3.749]],
  "species": ["As", "As", "Mo", "Fe"],
  "frac_coords": [[0.000, 0.000, 0.000], [0.750, 0.750, 0.750], [0.250, 0.250, 0.250], [0.500, 0.500, 0.500]],
  "spacegroup": "No. 216",
  "delta_e_f_ev_per_atom": 0.4141,
  "volume_a3_per_cell": 58.6,
  "e_tot_ev_per_cell": -29.29
}

***

Record 10
{
  "formula": "NaZrBr2",
  "functional": "PBEsol",
  "state": "relaxed",
  "lattice_angstrom": [[3.614, 0.000, 0.000], [1.807, 3.130, 0.000], [1.807, 1.043, 9.032]],
  "species": ["Br", "Na", "Br", "Zr"],
  "frac_coords": [[0.097, 0.097, 0.710], [0.500, 0.500, 0.500], [0.903, 0.903, 0.290], [0.000, 0.000, 0.000]],
  "e_form_raw_ev_per_atom": -0.729,
  "spacegroup": "No. 166",
  "volume_a3_per_cell": 102.2,
  "e_tot_ev_per_cell": -17.14
}

***

Record 11
{
  "formula": "AgWNF2",
  "functional": "PBEsol",
  "state": "relaxed",
  "lattice_angstrom": [[-2.776, 0.103, -2.737], [-1.825, -3.247, 1.729], [-2.234, 2.512, 2.359]],
  "species": ["F", "W", "N", "Ag", "F"],
  "frac_coords": [[0.000, 0.000, 0.500], [0.000, 0.000, 0.000], [0.500, 0.000, 0.000], [0.500, 0.500, 0.500], [0.000, 0.500, 0.000]],
  "e_form_raw_ev_per_atom": -0.661,
  "spacegroup": "No. 123",
  "volume_a3_per_cell": 65.8,
  "e_tot_ev_per_cell": -32.80
}

***

Record 12
{
  "formula": "Sr2ReHg",
  "functional": "PBEsol",
  "state": "relaxed",
  "lattice_angstrom": [[-1.194, 2.596, -1.265], [-2.284, 0.400, 2.979], [6.003, 4.697, 3.971]],
  "species": ["Sr", "Sr", "Hg", "Re"],
  "frac_coords": [[0.000, 0.000, 0.229], [0.000, 0.000, 0.771], [0.500, 0.500, 0.500], [0.500, 0.500, 0.000]],
  "spacegroup": "No. 47",
  "delta_e_f_ev_per_atom": 0.5881,
  "volume_a3_per_cell": 101.4,
  "e_tot_ev_per_cell": -15.23
}

***

Record 13
{
  "formula": "Ni2PtRh",
  "functional": "PBEsol",
  "state": "relaxed",
  "lattice_angstrom": [[-2.040, 0.687, -1.533], [-0.271, -3.449, -1.184], [-3.270, -1.072, 3.870]],
  "species": ["Ni", "Pt", "Rh", "Ni"],
  "frac_coords": [[0.000, 0.000, 0.002], [0.000, 0.000, 0.490], [0.500, 0.500, 0.765], [0.500, 0.500, 0.243]],
  "spacegroup": "No. 25",
  "delta_e_f_ev_per_atom": 0.0100,
  "volume_a3_per_cell": 50.0,
  "e_tot_ev_per_cell": -27.38
}

***

Record 14
{
  "formula": "ScTaTe2",
  "functional": "PBEsol",
  "state": "relaxed",
  "lattice_angstrom": [[4.001, 0.000, 0.000], [0.000, 4.001, 0.000], [-2.001, -2.001, 5.475]],
  "species": ["Te", "Te", "Ta", "Sc"],
  "frac_coords": [[0.750, 0.250, 0.500], [0.000, 0.000, 0.000], [0.250, 0.750, 0.500], [0.500, 0.500, 0.000]],
  "e_form_raw_ev_per_atom": -0.007,
  "spacegroup": "No. 119",
  "volume_a3_per_cell": 87.7,
  "e_tot_ev_per_cell": -26.24
}

***

Record 15
{
  "formula": "LaBe2PH",
  "functional": "PBEsol",
  "state": "relaxed",
  "lattice_angstrom": [[-2.369, -2.972, 0.597], [0.208, -0.916, -3.731], [4.019, -3.010, 0.963]],
  "species": ["H", "La", "Be", "Be", "P"],
  "frac_coords": [[0.000, 0.000, 0.500], [0.500, 0.500, 0.500], [0.000, 0.500, 0.000], [0.500, 0.000, 0.000], [0.000, 0.000, 0.000]],
  "spacegroup": "No. 123",
  "volume_a3_per_cell": 75.7,
  "e_tot_ev_per_cell": -21.25
}

***

Record 16
{
  "formula": "MgPHS2",
  "functional": "PBEsol",
  "state": "relaxed",
  "lattice_angstrom": [[-2.315, 0.147, -2.112], [1.675, -3.837, -2.103], [-2.683, -2.680, 2.752]],
  "species": ["Mg", "H", "S", "P", "S"],
  "frac_coords": [[0.500, 0.500, 0.500], [0.000, 0.000, 0.000], [0.000, 0.500, 0.000], [0.500, 0.000, 0.000], [0.000, 0.000, 0.500]],
  "spacegroup": "No. 123",
  "volume_a3_per_cell": 68.9,
  "e_tot_ev_per_cell": -19.05
}

***

Record 17
{
  "formula": "FeCoSi2",
  "functional": "PBEsol",
  "state": "relaxed",
  "lattice_angstrom": [[-0.891, 1.118, -2.273], [-3.313, -2.088, 0.273], [-0.334, 2.961, 3.173]],
  "species": ["Fe", "Si", "Co", "Si"],
  "frac_coords": [[0.260, 0.823, 0.520], [0.752, 0.315, 0.503], [0.492, 0.429, 0.983], [0.997, 0.933, 0.994]],
  "e_form_raw_ev_per_atom": -0.603,
  "spacegroup": "No. 8",
  "volume_a3_per_cell": 42.2,
  "e_tot_ev_per_cell": -30.61
}

***

Record 18
{
  "formula": "CuNi2Hg",
  "functional": "PBEsol",
  "state": "relaxed",
  "lattice_angstrom": [[-2.763, 0.323, -0.957], [-0.147, -2.886, -0.552], [-2.027, -0.955, 5.532]],
  "species": ["Hg", "Cu", "Ni", "Ni"],
  "frac_coords": [[0.500, 0.500, 0.755], [0.000, 0.000, 0.460], [0.000, 0.000, 0.040], [0.500, 0.500, 0.244]],
  "spacegroup": "No. 99",
  "delta_e_f_ev_per_atom": 0.1483,
  "volume_a3_per_cell": 51.7,
  "e_tot_ev_per_cell": -16.62
}

***

Record 19
{
  "formula": "Li2CaRh",
  "functional": "PBEsol",
  "state": "relaxed",
  "lattice_angstrom": [[-0.782, 1.326, 2.937], [-3.954, -0.887, -0.652], [1.127, -5.765, 1.011]],
  "species": ["Rh", "Ca", "Li", "Li"],
  "frac_coords": [[0.678, 0.000, 0.479], [0.276, 0.500, 0.675], [0.555, 0.500, 0.238], [0.990, 0.000, 0.108]],
  "spacegroup": "No. 6",
  "delta_e_f_ev_per_atom": -0.0355,
  "volume_a3_per_cell": 77.8,
  "e_tot_ev_per_cell": -14.35
}

***

Record 20
{
  "formula": "HgPb2",
  "functional": "PBEsol",
  "state": "relaxed",
  "lattice_angstrom": [[5.402, 0.000, 0.000], [-2.701, 4.678, 0.000], [0.000, 0.000, 6.518]],
  "species": ["Pb", "Hg", "Hg", "Pb", "Pb", "Pb"],
  "frac_coords": [[0.333, 0.667, 0.250], [0.667, 0.333, 0.250], [0.333, 0.667, 0.750], [0.667, 0.333, 0.750], [0.000, 0.000, 0.500], [0.000, 0.000, 0.000]],
  "spacegroup": "No. 194",
  "delta_e_f_ev_per_atom": 0.0200,
  "volume_a3_per_cell": 164.7,
  "e_tot_ev_per_cell": -17.01
}

***

Record 21
{
  "formula": "Sc2NiIr",
  "functional": "PBEsol",
  "state": "relaxed",
  "lattice_angstrom": [[3.115, 0.000, 0.000], [0.000, 4.509, 0.000], [0.000, 0.000, 4.509]],
  "species": ["Ni", "Sc", "Ir", "Sc"],
  "frac_coords": [[0.500, 0.000, 0.000], [0.000, 0.000, 0.500], [0.500, 0.500, 0.500], [0.000, 0.500, 0.000]],
  "spacegroup": "No. 123",
  "delta_e_f_ev_per_atom": -0.7713,
  "volume_a3_per_cell": 63.3,
  "e_tot_ev_per_cell": -32.28
}

***

Record 22
{
  "formula": "LaMg2Co",
  "functional": "PBEsol",
  "state": "relaxed",
  "lattice_angstrom": [[4.912, 0.000, 0.000], [2.456, 4.254, 0.000], [2.456, 1.418, 4.010]],
  "species": ["Mg", "Mg", "Co", "La"],
  "frac_coords": [[0.250, 0.250, 0.250], [0.750, 0.750, 0.750], [0.000, 0.000, 0.000], [0.500, 0.500, 0.500]],
  "spacegroup": "No. 225",
  "delta_e_f_ev_per_atom": 0.3139,
  "volume_a3_per_cell": 83.8,
  "e_tot_ev_per_cell": -15.26
}

***

Record 23
{
  "formula": "SrRe2Au",
  "functional": "PBEsol",
  "state": "relaxed",
  "lattice_angstrom": [[-2.068, 0.825, 3.089], [-0.893, -4.721, 0.664], [4.955, 1.629, 0.534]],
  "species": ["Au", "Re", "Re", "Sr"],
  "frac_coords": [[0.263, 0.763, 0.526], [0.040, 0.040, 0.079], [0.714, 0.214, 0.428], [0.484, 0.484, 0.967]],
  "spacegroup": "No. 44",
  "delta_e_f_ev_per_atom": 0.7991,
  "volume_a3_per_cell": 78.3,
  "e_tot_ev_per_cell": -29.23
}

***

Record 24
{
  "formula": "Ho3Si11Pt23",
  "functional": "PBEsol",
  "state": "relaxed",
  "lattice_angstrom": [[11.869, 0.000, 0.000], [5.935, 10.279, 0.000], [5.935, 3.426, 9.691]],
  "species": ["Pt", "Pt", "Pt", "Si", "Ho", "Pt", "Si", "Pt", "Si", "Pt", "Pt", "Pt", "Pt", "Si", "Pt", "Pt", "Pt", "Si", "Pt", "Ho", "Pt", "Si", "Pt", "Pt", "Pt", "Si", "Ho", "Pt", "Pt", "Pt", "Ho", "Pt", "Si", "Si", "Pt", "Pt", "Pt", "Si", "Pt", "Pt", "Si", "Pt", "Si", "Ho", "Ho", "Pt", "Pt", "Si", "Pt", "Pt", "Pt", "Pt", "Si", "Si", "Pt", "Pt", "Pt", "Pt", "Pt", "Pt", "Pt", "Si", "Si", "Pt", "Si", "Pt", "Si", "Pt", "Pt", "Si", "Pt", "Si", "Pt", "Si"],
  "frac_coords": [[0.308, 0.075, 0.308], [0.751, 0.083, 0.083], [0.917, 0.252, 0.579], [0.165, 0.165, 0.165], [0.000, 0.000, 0.500], [0.375, 0.625, 0.625], [0.829, 0.171, 0.171], [0.252, 0.252, 0.579], [0.606, 0.181, 0.606], [0.579, 0.917, 0.252], [0.421, 0.748, 0.748], [0.748, 0.748, 0.083], [0.692, 0.692, 0.925], [0.496, 0.835, 0.835], [0.083, 0.421, 0.748], [0.579, 0.252, 0.917], [0.083, 0.748, 0.748], [0.171, 0.171, 0.829], [0.625, 0.375, 0.625], [0.000, 0.500, 0.000], [0.748, 0.748, 0.421], [0.835, 0.496, 0.835], [0.083, 0.083, 0.083], [0.748, 0.421, 0.748], [0.917, 0.252, 0.252], [0.829, 0.829, 0.171], [0.500, 0.000, 0.000], [0.692, 0.925, 0.692], [0.625, 0.375, 0.375], [0.917, 0.579, 0.252], [0.500, 0.000, 0.500], [0.083, 0.748, 0.421], [0.394, 0.819, 0.394], [0.835, 0.835, 0.835], [0.083, 0.083, 0.751], [0.083, 0.751, 0.083], [0.421, 0.083, 0.748], [0.181, 0.606, 0.606], [0.748, 0.083, 0.421], [0.579, 0.252, 0.252], [0.835, 0.835, 0.496], [0.249, 0.917, 0.917], [0.165, 0.165, 0.504], [0.000, 0.500, 0.500], [0.500, 0.500, 0.000], [0.075, 0.308, 0.308], [0.917, 0.249, 0.917], [0.504, 0.165, 0.165], [0.375, 0.625, 0.375], [0.252, 0.579, 0.917], [0.308, 0.308, 0.075], [0.252, 0.579, 0.252], [0.394, 0.394, 0.394], [0.394, 0.394, 0.819], [0.375, 0.375, 0.625], [0.748, 0.421, 0.083], [0.917, 0.917, 0.917], [0.917, 0.917, 0.249], [0.252, 0.917, 0.252], [0.925, 0.692, 0.692], [0.308, 0.308, 0.308], [0.171, 0.829, 0.829], [0.829, 0.171, 0.829], [0.625, 0.625, 0.375], [0.165, 0.504, 0.165], [0.252, 0.917, 0.579], [0.606, 0.606, 0.181], [0.252, 0.252, 0.917], [0.748, 0.083, 0.748], [0.171, 0.829, 0.171], [0.421, 0.748, 0.083], [0.606, 0.606, 0.606], [0.692, 0.692, 0.692], [0.819, 0.394, 0.394]],
  "e_form_raw_ev_per_atom": -0.899,
  "spacegroup": "No. 225",
  "volume_a3_per_cell": 1182.4,
  "e_tot_ev_per_cell": -542.96
}

***

Record 25
{
  "formula": "KNbCr2Pd",
  "functional": "PBEsol",
  "state": "relaxed",
  "lattice_angstrom": [[4.104, 0.000, 0.000], [0.000, 4.104, 0.000], [0.000, 0.000, 4.531]],
  "species": ["Nb", "Cr", "K", "Pd", "Cr"],
  "frac_coords": [[0.000, 0.000, 0.500], [0.000, 0.500, 0.000], [0.000, 0.000, 0.000], [0.500, 0.500, 0.500], [0.500, 0.000, 0.000]],
  "spacegroup": "No. 123",
  "delta_e_f_ev_per_atom": 2.5605,
  "volume_a3_per_cell": 76.3,
  "e_tot_ev_per_cell": -25.59
}

***

Record 26
{
  "formula": "Sc4SiAu",
  "functional": "PBEsol",
  "state": "relaxed",
  "lattice_angstrom": [[-1.069, -3.062, -4.448], [2.251, -4.999, -0.506], [-3.149, -4.494, 0.444]],
  "species": ["Sc", "Au", "Sc", "Si", "Sc", "Sc"],
  "frac_coords": [[0.376, 0.376, 0.376], [0.000, 0.000, 0.000], [0.376, 0.376, 0.873], [0.750, 0.750, 0.750], [0.376, 0.873, 0.376], [0.873, 0.376, 0.376]],
  "e_form_raw_ev_per_atom": 0.196,
  "spacegroup": "No. 216",
  "volume_a3_per_cell": 118.0,
  "e_tot_ev_per_cell": -34.92
}